*w*
This record from Alexandria describes crystalline NaSbP2S at its relaxed geometry. The functional is PBE-GGA.

a b c (Å): 5.1544 5.1544 5.2079
angles (deg): 90.00 90.00 90.00
Closest atoms and distances in Å follow each position.
Space group P4/mmm (No. 123)
Asymmetric unit:
Na  0.0000  0.0000  0.0000 x1  4 S 3.64, 8 P 3.66
Sb  0.5000  0.5000  0.5000 x1  4 P 2.58, 2 S 2.60
P  0.0000  0.5000  0.5000 x2  2 Sb 2.58
S  0.5000  0.5000  0.0000 x1  2 Sb 2.60

Output
The crystal system is tetragonal. The total magnetic moment comes out at 1.85 μB/cell.

*x*
This record from Alexandria describes crystalline NaSbP2S at its relaxed geometry. The functional is PBE-GGA.

a b c (Å): 4.8697 4.8697 4.8485
angles (deg): 90.00 90.00 90.00
Closest atoms and distances in Å follow each position.
Space group P4/mmm (No. 123)
Asymmetric unit:
Na  0.0000  0.0000  0.0000 x1  2 S 2.42, 4 P 2.43
Sb  0.5000  0.5000  0.5000 x1  8 P 3.44, 4 S 3.44
P  0.0000  0.5000  0.0000 x2  2 Na 2.43
S  0.0000  0.0000  0.5000 x1  2 Na 2.42

Output
The crystal system is tetragonal. The total magnetic moment comes out at 0.70 μB/cell.

Least stable structure: *x*

*w*
This record from Alexandria describes crystalline NaScPS2 at its relaxed geometry. The functional is PBE-GGA.

a b c (Å): 4.9794 4.9794 5.0366
angles (deg): 90.00 90.00 90.00
Closest atoms and distances in Å follow each position.
Space group P4/mmm (No. 123)
Asymmetric unit:
Na  0.0000  0.0000  0.0000 x1  4 P 3.52, 8 S 3.54
Sc  0.5000  0.5000  0.5000 x1  4 S 2.49, 2 P 2.52
P  0.5000  0.5000  0.0000 x1  2 Sc 2.52
S  0.0000  0.5000  0.5000 x2  2 Sc 2.49

Output
The crystal system is tetragonal. The total magnetic moment comes out at 1.08 μB/cell.

*x*
This record from Alexandria describes crystalline NaScPS2 at its relaxed geometry. The functional is PBE-GGA.

a b c (Å): 4.8071 4.8071 4.6470
angles (deg): 90.00 90.00 90.00
Closest atoms and distances in Å follow each position.
Space group P4/mmm (No. 123)
Asymmetric unit:
Na  0.0000  0.0000  0.0000 x1  2 P 2.32, 4 S 2.40
Sc  0.5000  0.5000  0.5000 x1  8 S 3.34, 4 P 3.40
P  0.0000  0.0000  0.5000 x1  2 Na 2.32
S  0.0000  0.5000  0.0000 x2  2 Na 2.40

Output
The crystal system is tetragonal. The total magnetic moment comes out at 0.00 μB/cell.

Least stable structure: *x*